Entry 1:
A relaxed TaFePt2Rh2 crystal. Source: Alexandria, functional GGA-PBE.

Results
Its theoretical density is 15.05 g cm⁻³. The total magnetization comes out at 6.78 μB/cell. The formation energy comes out at -201 meV per atom. As for the density of states at the Fermi level: 0.841 states/eV/atom.

abc: 5.430 5.133 7.416
angles: 62.73 90.00 90.00
Last column: magnetic moment on the atom in μB.
Positions (direct):
Ta: 0.750 0.294 0.820  -0.14
Rh: 0.750 0.764 0.491  0.25
Pt: 0.501 0.796 0.834  0.14
Rh: 0.750 0.267 0.475  0.33
Pt: 0.999 0.796 0.834  0.14
Fe: 0.750 0.731 0.159  2.66
Rh: 0.250 0.733 0.525  0.33
Fe: 0.250 0.269 0.841  2.66
Ta: 0.250 0.706 0.180  -0.14
Rh: 0.250 0.236 0.509  0.25
Pt: 0.001 0.204 0.166  0.14
Pt: 0.499 0.204 0.166  0.14

Entry 2:
A relaxed La4ScOs crystal. Source: Alexandria, functional GGA-PBE.

Results
Its theoretical density is 7.67 g cm⁻³. The total magnetization comes out at 0.00 μB/cell. The formation energy comes out at 833 meV per atom. As for the density of states at the Fermi level: 1.686 states/eV/atom.

abc: 6.233 6.233 6.233
angles: 60.00 60.00 60.00
Positions (direct):
La: 0.868 0.377 0.377
La: 0.377 0.377 0.868
La: 0.377 0.377 0.377
Sc: 0.000 0.000 0.000
Os: 0.750 0.750 0.750
La: 0.377 0.868 0.377

Entry 3:
A relaxed PuScB crystal. Source: Alexandria, functional GGA-PBE.

Results
Its theoretical density is 9.08 g cm⁻³. The total magnetization comes out at 10.90 μB/cell. The formation energy comes out at -93 meV per atom. As for the density of states at the Fermi level: 1.834 states/eV/atom.

abc: 3.348 5.850 6.141
angles: 77.47 74.18 73.37
Last column: magnetic moment on the atom in μB.
Positions (direct):
Pu: 0.318 0.284 0.081  5.17
Sc: 0.914 0.783 0.388  0.05
B: 0.417 0.531 0.635  -0.05
B: 0.583 0.469 0.365  -0.05
Pu: 0.682 0.716 0.919  5.17
Sc: 0.086 0.217 0.612  0.05

Entry 4:
A relaxed LaCu2Re crystal. Source: Alexandria, functional GGA-PBE.

Results
Its theoretical density is 10.78 g cm⁻³. The total magnetization comes out at 0.80 μB/cell. The formation energy comes out at 658 meV per atom. As for the density of states at the Fermi level: 1.314 states/eV/atom. The excess energy over the best structure of this formula in the dataset comes out at 0.289 eV per atom.

abc: 9.607 9.607 9.607
angles: 17.45 17.45 17.45
Last column: magnetic moment on the atom in μB.
Positions (direct):
Cu: 0.012 0.012 0.012  -0.01
Re: 0.750 0.750 0.750  -0.06
Cu: 0.488 0.488 0.488  -0.01
La: 0.250 0.250 0.250  -0.56

no.,E_tot (eV per atom)
1,-8.0510
2,-5.3789
3,-9.2071
4,-5.7341